(1)
A plane-wave DFT calculation with PBE was carried out for a relaxed Tb2Ho5Er4 crystal.

Cell lengths 3.4611, 8.9148, 12.4372 Å; angles 111.00, 98.00, 90.00 degrees
Element x y z (fractional)
Tb1 0.2684 0.2684 0.5368
Tb2 0.7316 0.7316 0.4632
Ho1 0.8564 0.0536 0.7127
Ho2 0.8564 0.6591 0.7127
Ho3 0.1436 0.3409 0.2873
Ho4 0.1436 0.9464 0.2873
Ho5 0.5000 0.0000 0.0000
Er1 0.0000 0.3102 0.0000
Er2 0.5970 0.5970 0.1940
Er3 0.0000 0.6898 0.0000
Er4 0.4030 0.4030 0.8060

raw total energy	-4.356	eV/atom
ΔH_f (0 K)	0.23	eV per atom

---

(2)
A plane-wave DFT calculation with PBE was carried out for a relaxed Rb2Ti2Pt crystal.

Cell lengths 3.5605, 3.5605, 12.2670 Å; angles 81.66, 81.66, 90.00 degrees
Element x y z (fractional)
Rb1 0.4056 0.4056 0.1887
Rb2 0.5944 0.5944 0.8113
Pt1 0.0000 0.0000 0.0000
Ti1 0.7500 0.2500 0.5000
Ti2 0.2500 0.7500 0.5000

raw total energy	-4.008	eV/atom
ΔH_f (0 K)	0.74	eV per atom